This record from Alexandria via LeMat-Bulk describes crystalline DyHoPb2 at its relaxed geometry. The functional is GGA-PBE.

**Mass density**: 10941 kg/m³
**Space-group type**: No. 123
**DFT total energy**: -18.26 eV per cell

Lattice parameters (Å, degrees): 4.408 5.054 5.054 90.00 90.00 90.00
Fractional coordinates of all 4 atoms:
Pb 0.000 0.000 0.500
Pb 0.000 0.500 0.000
Ho 0.500 0.500 0.500
Dy 0.500 0.000 0.000